Entry 1:
# PBE-GGA ZrInAgPt, optimized geometry
data_ZrInAgPt
_cell_length_a 6.714
_cell_length_b 6.714
_cell_length_c 6.714
_cell_angle_alpha 90.00
_cell_angle_beta 90.00
_cell_angle_gamma 90.00
_space_group_name_H-M_alt 'F -4 3 m'
_space_group_IT_number 216
_space_group_name_Hall 'F -4 2 3'
loop_
_atom_site_label
_atom_site_fract_x
_atom_site_fract_y
_atom_site_fract_z
Zr1 0.000 0.000 0.000
In1 0.000 0.000 0.500
Ag1 0.250 0.250 0.750
Pt1 0.250 0.250 0.250
# Total magnetic moment ... 0.00 μB per atom
# Energy ... -89.17 eV for the cell shown
# Formation energy ... -0.53 eV per atom
# Crystal system ... cubic
# Theoretical density ... 11.2 g/cm³


Entry 2:
# PBE-GGA PuIn6Ag6, optimized geometry
data_PuIn6Ag6
_cell_length_a 5.815
_cell_length_b 9.759
_cell_length_c 9.893
_cell_angle_alpha 90.00
_cell_angle_beta 90.00
_cell_angle_gamma 90.00
_space_group_name_H-M_alt 'I m m m'
_space_group_IT_number 71
_space_group_name_Hall '-I 2 2'
loop_
_atom_site_label
_atom_site_fract_x
_atom_site_fract_y
_atom_site_fract_z
Pu1 0.000 0.000 0.000
In1 0.000 0.000 0.343
In2 0.000 0.345 0.000
In3 0.000 0.500 0.318
Ag1 0.000 0.265 0.500
Ag2 0.250 0.250 0.250
# Total magnetic moment ... 0.46 μB per atom
# Energy ... -98.00 eV for the cell shown
# Formation energy ... -0.09 eV per atom
# Crystal system ... orthorhombic
# Theoretical density ... 9.3 g/cm³


What did the first record say?
# PBE-GGA ZrInAgPt, optimized geometry
data_ZrInAgPt
_cell_length_a 6.714
_cell_length_b 6.714
_cell_length_c 6.714
_cell_angle_alpha 90.00
_cell_angle_beta 90.00
_cell_angle_gamma 90.00
_space_group_name_H-M_alt 'F -4 3 m'
_space_group_IT_number 216
_space_group_name_Hall 'F -4 2 3'
loop_
_atom_site_label
_atom_site_fract_x
_atom_site_fract_y
_atom_site_fract_z
Zr1 0.000 0.000 0.000
In1 0.000 0.000 0.500
Ag1 0.250 0.250 0.750
Pt1 0.250 0.250 0.250
# Total magnetic moment ... 0.00 μB per atom
# Energy ... -89.17 eV for the cell shown
# Formation energy ... -0.53 eV per atom
# Crystal system ... cubic
# Theoretical density ... 11.2 g/cm³


Q: Among the records above, which one has the lowest energy?
A: PuIn6Ag6